[1]
The following is a GGA-PBE calculation of crystalline Ba2MgZn4Cd3 at its relaxed geometry, from Alexandria via LeMat-Bulk.

a = 4.7302 Å, b = 4.7302 Å, c = 11.6981 Å
α = 90.00°, β = 90.00°, γ = 90.00°
Closest atoms and distances in Å follow each position.
Atoms (fractional coordinates):
Ba  0.5000  0.0000  0.2406  6 Cd 3.61-3.85, 8 Zn 3.64-3.68, 2 Mg 3.85
Ba  0.0000  0.5000  0.7594  6 Cd 3.61-3.85, 8 Zn 3.64-3.68, 2 Mg 3.85
Mg  0.5000  0.5000  0.5000  4 Zn 2.86
Zn  0.5000  0.5000  0.0000  4 Cd 2.77
Zn  0.0000  0.0000  0.0000  4 Cd 2.77
Zn  0.5000  0.0000  0.6369  3 Cd 2.80-2.86, 2 Mg 2.86
Zn  0.0000  0.5000  0.3631  3 Cd 2.80-2.86, 2 Mg 2.86
Cd  0.0000  0.0000  0.5000  4 Zn 2.86
Cd  0.5000  0.0000  0.8760  5 Zn 2.77-2.80
Cd  0.0000  0.5000  0.1240  5 Zn 2.77-2.80

Values from the calculation:
- total magnetic moment (Bohr magnetons per cell) = 0.00
- DFT formation energy (eV per formula unit) = -1.89
- SG = No. 115

[2]
The following is a GGA-PBE calculation of crystalline Be2HSe at its relaxed geometry, from Alexandria via LeMat-Bulk.

a = 3.8346 Å, b = 3.5836 Å, c = 7.8384 Å
α = 90.00°, β = 93.01°, γ = 90.00°
Closest atoms and distances in Å follow each position.
Atoms (fractional coordinates):
Be  0.9141  0.0000  0.7292  1 H 1.41
Be  0.9141  0.5000  0.2292  1 H 1.41
Be  0.7380  0.0000  0.4149  1 H 1.41
Be  0.7380  0.5000  0.9149  1 H 1.41
H  0.9847  0.0000  0.5550  2 Be 1.41
H  0.9847  0.5000  0.0550  2 Be 1.41
Se  0.4325  0.0000  0.8743  4 Be 2.16-2.24
Se  0.4325  0.5000  0.3743  4 Be 2.16-2.24

Values from the calculation:
- total magnetic moment (Bohr magnetons per cell) = 0.00
- SG = No. 8

[3]
The following is a GGA-PBE calculation of crystalline KAgRu4 at its relaxed geometry, from Alexandria via LeMat-Bulk.

a = 5.3201 Å, b = 5.3201 Å, c = 5.3201 Å
α = 60.00°, β = 60.00°, γ = 60.00°
Closest atoms and distances in Å follow each position.
Atoms (fractional coordinates):
K  0.0000  0.0000  0.0000  12 Ru 3.12, 4 Ag 3.26
Ag  0.7500  0.7500  0.7500  12 Ru 3.12, 4 K 3.26
Ru  0.8742  0.3753  0.3753  6 Ru 2.65-2.67
Ru  0.3753  0.3753  0.8742  6 Ru 2.65-2.67
Ru  0.3753  0.8742  0.3753  6 Ru 2.65-2.67
Ru  0.3753  0.3753  0.3753  6 Ru 2.65-2.67

Values from the calculation:
- total magnetic moment (Bohr magnetons per cell) = 4.30
- DFT formation energy (eV per formula unit) = 5.92
- SG = No. 216

[4]
The following is a GGA-PBE calculation of crystalline Cr2CuAg at its relaxed geometry, from Alexandria via LeMat-Bulk.

a = 4.7087 Å, b = 4.7087 Å, c = 4.7087 Å
α = 130.61°, β = 130.61°, γ = 72.43°
Closest atoms and distances in Å follow each position.
Atoms (fractional coordinates):
Ag  0.7500  0.2500  0.5000  4 Cu 2.73, 8 Cr 2.73-2.78
Cr  0.0000  0.0000  0.0000  4 Cr 2.73, 4 Ag 2.73, 4 Cu 2.78
Cr  0.2500  0.7500  0.5000  4 Cu 2.73, 4 Cr 2.73, 4 Ag 2.78
Cu  0.5000  0.5000  0.0000  4 Ag 2.73, 8 Cr 2.73-2.78

Values from the calculation:
- total magnetic moment (Bohr magnetons per cell) = 0.01
- DFT formation energy (eV per formula unit) = 1.41
- SG = No. 119

Looking at total energy for the records above, in order, we have -0.11152; -0.26468; -0.43032; -0.45537 Ry per atom.
Looking at density for the records above, in order, we have 5.70; 3.03; 8.60; 7.78 g cm⁻³.
Looking at Fermi-level density of states for the records above, in order, we have 8.2; 1.8; 7.6; 1.9 states/eV per cell.